Entry 1:
# ZrTaHg | the Alexandria database | PBE | relaxed
data_ZrTaHg
_chemical_formula_sum 'Zr2 Ta2 Hg2'
_symmetry_space_group_name_H-M 'I 4 m m'
_symmetry_Int_Tables_number 107
_symmetry_space_group_name_Hall 'I 4 -2'
_cell_length_a 2.973
_cell_length_b 2.973
_cell_length_c 13.893
_cell_angle_alpha 90.00
_cell_angle_beta 90.00
_cell_angle_gamma 90.00
loop_
_atom_site_label
_atom_site_type_symbol
_atom_site_fract_x
_atom_site_fract_y
_atom_site_fract_z
Zr1 Zr 0.000 0.000 0.000
Ta1 Ta 0.000 0.000 0.662
Hg1 Hg 0.000 0.000 0.327
# formation enthalpy at 0 K = 72 meV per atom

Entry 2:
# Mn2Hg2Sb | the Alexandria database | PBE | relaxed
data_Mn2Hg2Sb
_chemical_formula_sum 'Mn4 Hg4 Sb2'
_symmetry_space_group_name_H-M 'I 4/m m m'
_symmetry_Int_Tables_number 139
_symmetry_space_group_name_Hall '-I 4 2'
_cell_length_a 3.226
_cell_length_b 3.226
_cell_length_c 18.934
_cell_angle_alpha 90.00
_cell_angle_beta 90.00
_cell_angle_gamma 90.00
loop_
_atom_site_label
_atom_site_type_symbol
_atom_site_fract_x
_atom_site_fract_y
_atom_site_fract_z
Mn1 Mn 0.000 0.500 0.250
Hg1 Hg 0.000 0.000 0.127
Sb1 Sb 0.000 0.000 0.500
# uncorrected formation energy = 599 meV/atom

Entry 3:
# SmHfPa2N4 | the Alexandria database | PBE | relaxed
data_SmHfPa2N4
_chemical_formula_sum 'Sm1 Hf1 Pa2 N4'
_symmetry_space_group_name_H-M 'P 1 2/m 1'
_symmetry_Int_Tables_number 10
_cell_length_a 5.966
_cell_length_b 3.423
_cell_length_c 5.987
_cell_angle_alpha 90.00
_cell_angle_beta 109.13
_cell_angle_gamma 90.00
loop_
_symmetry_equiv_pos_as_xyz
'x,y,z'
'-x,-y,-z'
'-x,y,-z'
'x,-y,z'
loop_
_atom_site_label
_atom_site_type_symbol
_atom_site_fract_x
_atom_site_fract_y
_atom_site_fract_z
Sm1 Sm 0.000 0.000 0.000
Hf1 Hf 0.500 0.500 0.000
Pa1 Pa 0.000 0.500 0.500
Pa2 Pa 0.500 0.000 0.500
N1 N 0.275 0.000 0.764
N2 N 0.275 0.500 0.250
# uncorrected formation energy = -1597 meV/atom

Entry 4:
# LaCuSn | the Alexandria database | PBE | relaxed
data_LaCuSn
_chemical_formula_sum 'La2 Cu2 Sn2'
_symmetry_space_group_name_H-M 'P 4/n m m'
_symmetry_Int_Tables_number 129
_cell_length_a 4.529
_cell_length_b 4.529
_cell_length_c 7.344
_cell_angle_alpha 90.00
_cell_angle_beta 90.00
_cell_angle_gamma 90.00
loop_
_symmetry_equiv_pos_as_xyz
'x,y,z'
'-x,-y,-z'
'-y+1/2,x,z'
'y+1/2,-x,-z'
'-x+1/2,-y+1/2,z'
'x+1/2,y+1/2,-z'
'y,-x+1/2,z'
'-y,x+1/2,-z'
'x+1/2,-y,-z'
'-x+1/2,y,z'
'-y,-x,-z'
'y,x,z'
'-x,y+1/2,-z'
'x,-y+1/2,z'
'y+1/2,x+1/2,-z'
'-y+1/2,-x+1/2,z'
loop_
_atom_site_label
_atom_site_type_symbol
_atom_site_fract_x
_atom_site_fract_y
_atom_site_fract_z
La1 La 0.250 0.750 0.000
Cu1 Cu 0.250 0.250 0.289
Sn1 Sn 0.250 0.250 0.641
# formation enthalpy at 0 K = -25 meV per atom

Entry 5:
# BiSb2AsI | the Alexandria database | PBE | relaxed
data_BiSb2AsI
_chemical_formula_sum 'Bi1 Sb2 As1 I1'
_symmetry_space_group_name_H-M 'P 4/m m m'
_symmetry_Int_Tables_number 123
_symmetry_space_group_name_Hall '-P 4 2'
_cell_length_a 5.994
_cell_length_b 5.994
_cell_length_c 6.004
_cell_angle_alpha 90.00
_cell_angle_beta 90.00
_cell_angle_gamma 90.00
loop_
_atom_site_label
_atom_site_type_symbol
_atom_site_fract_x
_atom_site_fract_y
_atom_site_fract_z
Bi1 Bi 0.000 0.000 0.000
Sb1 Sb 0.000 0.500 0.000
As1 As 0.500 0.500 0.500
I1 I 0.000 0.000 0.500
# uncorrected formation energy = 1014 meV/atom

Entry 6:
# LaSm2Al | the Alexandria database | PBE | relaxed
data_LaSm2Al
_chemical_formula_sum 'La1 Sm2 Al1'
_symmetry_space_group_name_H-M 'P 4/m m m'
_symmetry_Int_Tables_number 123
_symmetry_space_group_name_Hall '-P 4 2'
_cell_length_a 3.598
_cell_length_b 3.598
_cell_length_c 9.331
_cell_angle_alpha 90.00
_cell_angle_beta 90.00
_cell_angle_gamma 90.00
loop_
_atom_site_label
_atom_site_type_symbol
_atom_site_fract_x
_atom_site_fract_y
_atom_site_fract_z
La1 La 0.000 0.000 0.000
Sm1 Sm 0.500 0.500 0.292
Al1 Al 0.000 0.000 0.500
# formation enthalpy at 0 K = -168 meV per atom

Entry 7:
# Er4Cu3Ni | the Alexandria database | PBE | relaxed
data_Er4Cu3Ni
_chemical_formula_sum 'Er4 Cu3 Ni1'
_symmetry_space_group_name_H-M 'P m m 2'
_symmetry_Int_Tables_number 25
_cell_length_a 3.689
_cell_length_b 4.394
_cell_length_c 10.147
_cell_angle_alpha 90.00
_cell_angle_beta 90.00
_cell_angle_gamma 90.00
loop_
_symmetry_equiv_pos_as_xyz
'x,y,z'
'-x,-y,z'
'-x,y,z'
'x,-y,z'
loop_
_atom_site_label
_atom_site_type_symbol
_atom_site_fract_x
_atom_site_fract_y
_atom_site_fract_z
Er1 Er 0.000 0.000 0.000
Er2 Er 0.000 0.500 0.272
Er3 Er 0.500 0.000 0.486
Er4 Er 0.500 0.500 0.775
Cu1 Cu 0.000 0.000 0.705
Cu2 Cu 0.000 0.500 0.561
Cu3 Cu 0.500 0.500 0.062
Ni1 Ni 0.500 0.000 0.208
# formation enthalpy at 0 K = -338 meV per atom

Entry 8:
# Be3ReI | the Alexandria database | PBE | relaxed
data_Be3ReI
_chemical_formula_sum 'Be3 Re1 I1'
_symmetry_space_group_name_H-M 'P m -3 m'
_symmetry_Int_Tables_number 221
_symmetry_space_group_name_Hall '-P 4 2 3'
_cell_length_a 4.414
_cell_length_b 4.414
_cell_length_c 4.414
_cell_angle_alpha 90.00
_cell_angle_beta 90.00
_cell_angle_gamma 90.00
loop_
_atom_site_label
_atom_site_type_symbol
_atom_site_fract_x
_atom_site_fract_y
_atom_site_fract_z
Be1 Be 0.000 0.000 0.500
Re1 Re 0.000 0.000 0.000
I1 I 0.500 0.500 0.500
# uncorrected formation energy = 1287 meV/atom

Entry 9:
# EuTlBr3 | the Alexandria database | PBE | relaxed
data_EuTlBr3
_chemical_formula_sum 'Eu1 Tl1 Br3'
_symmetry_space_group_name_H-M 'P m -3 m'
_symmetry_Int_Tables_number 221
_symmetry_space_group_name_Hall '-P 4 2 3'
_cell_length_a 5.893
_cell_length_b 5.893
_cell_length_c 5.893
_cell_angle_alpha 90.00
_cell_angle_beta 90.00
_cell_angle_gamma 90.00
loop_
_atom_site_label
_atom_site_type_symbol
_atom_site_fract_x
_atom_site_fract_y
_atom_site_fract_z
Eu1 Eu 0.000 0.000 0.000
Tl1 Tl 0.500 0.500 0.500
Br1 Br 0.000 0.000 0.500
# uncorrected formation energy = -1467 meV/atom

Entry 10:
# SrHoInHg | the Alexandria database | PBE | relaxed
data_SrHoInHg
_chemical_formula_sum 'Sr4 Ho4 In4 Hg4'
_symmetry_space_group_name_H-M 'F -4 3 m'
_symmetry_Int_Tables_number 216
_symmetry_space_group_name_Hall 'F -4 2 3'
_cell_length_a 7.759
_cell_length_b 7.759
_cell_length_c 7.759
_cell_angle_alpha 90.00
_cell_angle_beta 90.00
_cell_angle_gamma 90.00
loop_
_atom_site_label
_atom_site_type_symbol
_atom_site_fract_x
_atom_site_fract_y
_atom_site_fract_z
Sr1 Sr 0.000 0.000 0.000
Ho1 Ho 0.000 0.000 0.500
In1 In 0.250 0.250 0.750
Hg1 Hg 0.250 0.250 0.250
# formation enthalpy at 0 K = -419 meV per atom

Entry 11:
# Nd2Tm3ThTe6 | the Alexandria database | PBE | relaxed
data_Nd2Tm3ThTe6
_chemical_formula_sum 'Nd4 Tm6 Th2 Te12'
_symmetry_space_group_name_H-M 'C 1 2/m 1'
_symmetry_Int_Tables_number 12
_cell_length_a 19.596
_cell_length_b 4.279
_cell_length_c 9.043
_cell_angle_alpha 90.00
_cell_angle_beta 107.78
_cell_angle_gamma 90.00
loop_
_symmetry_equiv_pos_as_xyz
'x,y,z'
'-x,-y,-z'
'-x,y,-z'
'x,-y,z'
'x+1/2,y+1/2,z'
'-x+1/2,-y+1/2,-z'
'-x+1/2,y+1/2,-z'
'x+1/2,-y+1/2,z'
loop_
_atom_site_label
_atom_site_type_symbol
_atom_site_fract_x
_atom_site_fract_y
_atom_site_fract_z
Nd1 Nd 0.159 0.000 0.315
Tm1 Tm 0.000 0.500 0.500
Tm2 Tm 0.167 0.000 0.827
Th1 Th 0.000 0.500 0.000
Te1 Te 0.007 0.000 0.741
Te2 Te 0.166 0.500 0.586
Te3 Te 0.171 0.500 0.066
# uncorrected formation energy = -1229 meV/atom

Entry 12:
# YMgMn2 | the Alexandria database | PBE | relaxed
data_YMgMn2
_chemical_formula_sum 'Y4 Mg4 Mn8'
_symmetry_space_group_name_H-M 'F -4 3 m'
_symmetry_Int_Tables_number 216
_symmetry_space_group_name_Hall 'F -4 2 3'
_cell_length_a 6.849
_cell_length_b 6.849
_cell_length_c 6.849
_cell_angle_alpha 90.00
_cell_angle_beta 90.00
_cell_angle_gamma 90.00
loop_
_atom_site_label
_atom_site_type_symbol
_atom_site_fract_x
_atom_site_fract_y
_atom_site_fract_z
Y1 Y 0.000 0.000 0.000
Mg1 Mg 0.250 0.250 0.750
Mn1 Mn 0.000 0.000 0.500
Mn2 Mn 0.250 0.250 0.250
# formation enthalpy at 0 K = 347 meV per atom

Entry 13:
# Zn2ReSi | the Alexandria database | PBE | relaxed
data_Zn2ReSi
_chemical_formula_sum 'Zn2 Re1 Si1'
_symmetry_space_group_name_H-M 'P 4/m m m'
_symmetry_Int_Tables_number 123
_symmetry_space_group_name_Hall '-P 4 2'
_cell_length_a 3.621
_cell_length_b 3.621
_cell_length_c 4.294
_cell_angle_alpha 90.00
_cell_angle_beta 90.00
_cell_angle_gamma 90.00
loop_
_atom_site_label
_atom_site_type_symbol
_atom_site_fract_x
_atom_site_fract_y
_atom_site_fract_z
Zn1 Zn 0.000 0.500 0.000
Re1 Re 0.000 0.000 0.500
Si1 Si 0.500 0.500 0.500
# uncorrected formation energy = 263 meV/atom

Entry 14:
# In3Sn2Hg7 | the Alexandria database | PBE | relaxed
data_In3Sn2Hg7
_chemical_formula_sum 'In3 Sn2 Hg7'
_symmetry_space_group_name_H-M 'P 1 2/m 1'
_symmetry_Int_Tables_number 10
_cell_length_a 5.874
_cell_length_b 3.249
_cell_length_c 17.630
_cell_angle_alpha 90.00
_cell_angle_beta 98.30
_cell_angle_gamma 90.00
loop_
_symmetry_equiv_pos_as_xyz
'x,y,z'
'-x,-y,-z'
'-x,y,-z'
'x,-y,z'
loop_
_atom_site_label
_atom_site_type_symbol
_atom_site_fract_x
_atom_site_fract_y
_atom_site_fract_z
In1 In 0.000 0.000 0.000
In2 In 0.331 0.500 0.658
Sn1 Sn 0.159 0.000 0.323
Hg1 Hg 0.083 0.500 0.160
Hg2 Hg 0.248 0.000 0.496
Hg3 Hg 0.412 0.000 0.830
Hg4 Hg 0.500 0.500 0.000
# formation enthalpy at 0 K = 30 meV per atom

Entry 15:
# TaCu3As | the Alexandria database | PBE | relaxed
data_TaCu3As
_chemical_formula_sum 'Ta1 Cu3 As1'
_symmetry_space_group_name_H-M 'P m -3 m'
_symmetry_Int_Tables_number 221
_symmetry_space_group_name_Hall '-P 4 2 3'
_cell_length_a 4.758
_cell_length_b 4.758
_cell_length_c 4.758
_cell_angle_alpha 90.00
_cell_angle_beta 90.00
_cell_angle_gamma 90.00
loop_
_atom_site_label
_atom_site_type_symbol
_atom_site_fract_x
_atom_site_fract_y
_atom_site_fract_z
Ta1 Ta 0.000 0.000 0.000
Cu1 Cu 0.000 0.000 0.500
As1 As 0.500 0.500 0.500
# formation enthalpy at 0 K = 1573 meV per atom

Entry 16:
# TaIn2Fe | the Alexandria database | PBE | relaxed
data_TaIn2Fe
_chemical_formula_sum 'Ta2 In4 Fe2'
_symmetry_space_group_name_H-M 'I m m 2'
_symmetry_Int_Tables_number 44
_cell_length_a 3.060
_cell_length_b 4.847
_cell_length_c 10.264
_cell_angle_alpha 90.00
_cell_angle_beta 90.00
_cell_angle_gamma 90.00
loop_
_symmetry_equiv_pos_as_xyz
'x,y,z'
'-x,-y,z'
'-x,y,z'
'x,-y,z'
'x+1/2,y+1/2,z+1/2'
'-x+1/2,-y+1/2,z+1/2'
'-x+1/2,y+1/2,z+1/2'
'x+1/2,-y+1/2,z+1/2'
loop_
_atom_site_label
_atom_site_type_symbol
_atom_site_fract_x
_atom_site_fract_y
_atom_site_fract_z
Ta1 Ta 0.000 0.000 0.000
In1 In 0.000 0.000 0.440
In2 In 0.000 0.500 0.226
Fe1 Fe 0.000 0.500 0.697
# formation enthalpy at 0 K = 310 meV per atom

Entry 17:
# LaCuTe2N | the Alexandria database | PBE | relaxed
data_LaCuTe2N
_chemical_formula_sum 'La1 Cu1 Te2 N1'
_symmetry_space_group_name_H-M 'P 4/m m m'
_symmetry_Int_Tables_number 123
_symmetry_space_group_name_Hall '-P 4 2'
_cell_length_a 6.436
_cell_length_b 6.436
_cell_length_c 3.965
_cell_angle_alpha 90.00
_cell_angle_beta 90.00
_cell_angle_gamma 90.00
loop_
_atom_site_label
_atom_site_type_symbol
_atom_site_fract_x
_atom_site_fract_y
_atom_site_fract_z
La1 La 0.000 0.000 0.000
Cu1 Cu 0.500 0.500 0.500
Te1 Te 0.000 0.500 0.000
N1 N 0.000 0.000 0.500
# uncorrected formation energy = 542 meV/atom

Entry 18:
# LuHg2Au | the Alexandria database | PBE | relaxed
data_LuHg2Au
_chemical_formula_sum 'Lu3 Hg6 Au3'
_symmetry_space_group_name_H-M 'R -3 m'
_symmetry_Int_Tables_number 166
_symmetry_space_group_name_Hall '-R 3 2"'
_cell_length_a 3.3024
_cell_length_b 3.3024
_cell_length_c 31.8109
_cell_angle_alpha 90.00
_cell_angle_beta 90.00
_cell_angle_gamma 120.00
loop_
_atom_site_label
_atom_site_type_symbol
_atom_site_fract_x
_atom_site_fract_y
_atom_site_fract_z
Lu1 Lu 0.0000 0.0000 0.0000
Hg1 Hg 0.0000 0.0000 0.0935
Au1 Au 0.0000 0.0000 0.5000
# formation enthalpy at 0 K = 154 meV per atom

Entry 19:
# LaTlZn2 | the Alexandria database | PBE | relaxed
data_LaTlZn2
_chemical_formula_sum 'La2 Tl2 Zn4'
_symmetry_space_group_name_H-M 'A m m 2'
_symmetry_Int_Tables_number 38
_cell_length_a 4.603
_cell_length_b 5.434
_cell_length_c 8.005
_cell_angle_alpha 90.00
_cell_angle_beta 90.00
_cell_angle_gamma 90.00
loop_
_symmetry_equiv_pos_as_xyz
'x,y,z'
'-x,-y,z'
'-x,y,z'
'x,-y,z'
'x,y+1/2,z+1/2'
'-x,-y+1/2,z+1/2'
'-x,y+1/2,z+1/2'
'x,-y+1/2,z+1/2'
loop_
_atom_site_label
_atom_site_type_symbol
_atom_site_fract_x
_atom_site_fract_y
_atom_site_fract_z
La1 La 0.000 0.000 0.000
Tl1 Tl 0.500 0.000 0.648
Zn1 Zn 0.000 0.000 0.382
Zn2 Zn 0.500 0.000 0.281
# formation enthalpy at 0 K = -131 meV per atom

Entry 20:
# CuPSeO2 | the Alexandria database | PBE | relaxed
data_CuPSeO2
_chemical_formula_sum 'Cu1 P1 Se1 O2'
_symmetry_space_group_name_H-M 'P 4/m m m'
_symmetry_Int_Tables_number 123
_symmetry_space_group_name_Hall '-P 4 2'
_cell_length_a 3.690
_cell_length_b 3.690
_cell_length_c 5.226
_cell_angle_alpha 90.00
_cell_angle_beta 90.00
_cell_angle_gamma 90.00
loop_
_atom_site_label
_atom_site_type_symbol
_atom_site_fract_x
_atom_site_fract_y
_atom_site_fract_z
Cu1 Cu 0.000 0.000 0.000
P1 P 0.000 0.000 0.500
Se1 Se 0.500 0.500 0.500
O1 O 0.000 0.500 0.000
# uncorrected formation energy = 357 meV/atom